1.
LiAcNiBi: optimized geometry, PBE.

Cell: 5.0423 5.0423 5.0423 Å, 60.00 60.00 60.00°
Element x y z (fractional)
Li (0.0000, 0.0000, 0.0000)
Ac (0.7500, 0.7500, 0.7500)
Ni (0.5000, 0.5000, 0.5000)
Bi (0.2500, 0.2500, 0.2500)

## Properties
As for the symmetry: No. 216. The mass density is 9.19 Mg/m³. For the formation energy from the elements, the calculation gives -295 meV per atom.

2.
LaGaSb2O8: optimized geometry, PBE.

Cell: 4.9544 4.9544 6.5159 Å, 90.00 90.00 94.84°
Element x y z (fractional)
La (0.0000, 0.0000, 0.0000)
Ga (0.0000, 0.0000, 0.5000)
Sb (0.5000, 0.5000, 0.2635)
Sb (0.5000, 0.5000, 0.7365)
O (0.2057, 0.2057, 0.2834)
O (0.2057, 0.2057, 0.7166)
O (0.3103, 0.6897, 0.5000)
O (0.3321, 0.6679, 0.0000)
O (0.6679, 0.3321, 0.0000)
O (0.6897, 0.3103, 0.5000)
O (0.7943, 0.7943, 0.2834)
O (0.7943, 0.7943, 0.7166)

## Properties
As for the symmetry: No. 65. The mass density is 6.04 Mg/m³. The calculation puts the formation energy without anion corrections at -2120 kJ/mol of formula units.

3.
BaRe2Ru: optimized geometry, PBE.

Cell: 3.6732 4.6600 6.2006 Å, 90.00 103.61 90.00°
Element x y z (fractional)
Ba (0.0000, 0.0000, 0.0000)
Re (0.2962, 0.5000, 0.6199)
Re (0.7038, 0.5000, 0.3801)
Ru (0.5000, 0.0000, 0.5000)

## Properties
As for the symmetry: No. 10. The mass density is 9.83 Mg/m³. The value obtained for the distance to the lowest polymorph of the same formula is 453 meV per atom. For the formation energy from the elements, the calculation gives 1032 meV per atom.

4.
TbPr2NdSe4: optimized geometry, PBE.

Cell: 7.3197 4.1559 7.3571 Å, 90.00 108.76 90.00°
Element x y z (fractional)
Tb (0.0000, 0.0000, 0.0000)
Pr (0.0000, 0.5000, 0.5000)
Pr (0.5000, 0.0000, 0.5000)
Nd (0.5000, 0.5000, 0.0000)
Se (0.2403, 0.5000, 0.2383)
Se (0.2466, 0.0000, 0.7574)
Se (0.7534, 0.0000, 0.2426)
Se (0.7597, 0.5000, 0.7617)

## Properties
As for the symmetry: No. 10. The mass density is 7.06 Mg/m³. The calculation puts the formation energy without anion corrections at -1407 kJ/mol of formula units.

| no. | E_tot (eV/atom) |
| --- | --- |
| 1 | -4.2164 |
| 2 | -6.4860 |
| 3 | -7.9921 |
| 4 | -5.9345 |